No. 1
Compound: PmSn2Bi3
Source: Alexandria
Functional: GGA-PBE
Structure: relaxed

Computed properties:
The space-group type is Pmc2_1 (26). As for the magnetization: 0.00 μB/f.u. The value obtained for the calculated volume is 386.7 Å³/cell. The value obtained for the formation energy is -0.2549 eV/atom.

Cell lengths 4.676, 7.037, 11.752 Å; angles 90.00, 90.00, 90.00 degrees
Element x y z (fractional)
Pm 0.000 0.005 0.884
Pm 0.000 0.505 0.116
Sn 0.000 0.470 0.814
Sn 0.000 0.970 0.186
Sn 0.500 0.542 0.548
Sn 0.500 0.042 0.452
Bi 0.500 0.713 0.969
Bi 0.000 0.287 0.370
Bi 0.500 0.213 0.031
Bi 0.500 0.684 0.291
Bi 0.500 0.184 0.709
Bi 0.000 0.787 0.630

***

No. 2
Compound: RbSc3Ni
Source: Alexandria
Functional: GGA-PBE
Structure: relaxed

Computed properties:
The space-group type is Pm-3m (221). As for the magnetization: 0.00 μB/f.u. The value obtained for the calculated volume is 137.1 Å³/cell. The value obtained for the formation energy is 0.2674 eV/atom.

Cell lengths 5.156, 5.156, 5.156 Å; angles 90.00, 90.00, 90.00 degrees
Element x y z (fractional)
Sc 0.000 0.000 0.500
Sc 0.500 0.000 0.000
Sc 0.000 0.500 0.000
Rb 0.500 0.500 0.500
Ni 0.000 0.000 0.000

***

No. 3
Compound: Cs4H4Pd
Source: Alexandria
Functional: GGA-PBE
Structure: relaxed

Computed properties:
The space-group type is I4/m (87). As for the magnetization: 0.00 μB/f.u. The value obtained for the calculated volume is 358.5 Å³/cell.

Cell lengths 4.592, 9.129, 9.129 Å; angles 86.37, 75.43, 75.43 degrees
Element x y z (fractional)
H 0.887 0.041 0.185
H 0.928 0.185 0.959
H 0.072 0.815 0.041
H 0.113 0.959 0.815
Cs 0.449 0.817 0.285
Cs 0.266 0.285 0.183
Cs 0.734 0.715 0.817
Cs 0.551 0.183 0.715
Pd 0.000 0.000 0.000

***

| no. | electronic total energy (eV per atom) |
| --- | --- |
| 1 | -4.32 |
| 2 | -4.88 |
| 3 | -2.64 |